CePm3Hg4 GGA-PBE optimized geometry; spin magnetization = 0.331 μB/atom; E_form = -0.428 eV/atom; energy above the most stable polymorph in this dataset = 0 meV per atom
1.0
3.809 0.000 0.000
0.000 3.809 0.000
0.000 0.000 15.351
Ce Pm Hg
1 3 4
direct
0.000 0.000 0.000
0.000 0.000 0.251
0.000 0.000 0.500
0.000 0.000 0.749
0.500 0.500 0.128
0.500 0.500 0.375
0.500 0.500 0.625
0.500 0.500 0.872